# HfBe2Bi GGA-PBE optimized geometry
# E_form = 0.599 eV/atom
# final energy = -4.723 eV/atom
data_HfBe2Bi
_symmetry_space_group_name_H-M 'I -4 2 d'
_symmetry_Int_Tables_number 122
_symmetry_space_group_name_Hall 'I -4 2bw'
_cell_length_a 7.1621
_cell_length_b 7.1621
_cell_length_c 5.7401
_cell_angle_alpha 90.00
_cell_angle_beta 90.00
_cell_angle_gamma 90.00
loop_
_atom_site_label
_atom_site_fract_x
_atom_site_fract_y
_atom_site_fract_z
Hf1 0.0000 0.0000 0.0000
Be1 0.2390 0.2500 0.6250
Bi1 0.0000 0.0000 0.5000